Entry from Alexandria via LeMat-Bulk: an optimized crystal structure of YV (PBE).

DFT total energy ... -7.17 eV per atom
Crystal system ... tetragonal
Offset from the most stable computed form ... 392 meV/atom
E_form ... 0.622 eV per atom

Cell: 7.518 7.518 7.518 Å, 94.00 94.00 149.38°
Positions (direct):
Y1 0.000 0.288 0.288
Y2 0.000 0.712 0.712
Y3 0.288 0.000 0.288
Y4 0.712 0.000 0.712
V1 0.298 0.298 0.595
V2 0.298 0.702 0.000
V3 0.702 0.298 0.000
V4 0.702 0.702 0.405